<P>
TlPbI2 after structural relaxation. Source: Alexandria via LeMat-Bulk, functional GGA-PBE.

```
8
Lattice="-3.2103 3.2103 9.8036 3.2103 -3.2103 9.8036 3.2103 3.2103 -9.8036" Properties=species:S:1:pos:R:3 pbc="T T T"
Tl 0.0000 0.0000 0.0000
Tl 0.0000 3.2103 4.9018
Pb 3.2103 0.0000 4.9018
Pb 0.0000 0.0000 9.8036
I 1.6052 -1.4325 7.3527
I 1.7779 1.6052 2.4509
I 1.6052 4.6428 -2.4509
I 1.4325 1.6052 12.2544
```

<Q>
TlPbI2 after structural relaxation. Source: Alexandria via LeMat-Bulk, functional GGA-PBE.

```
4
Lattice="0.0000 4.1321 4.1321 4.1321 0.0000 4.1321 4.1321 4.1321 0.0000" Properties=species:S:1:pos:R:3 pbc="T T T"
Tl 0.0000 0.0000 0.0000
Pb 4.1321 4.1321 4.1321
I 2.0661 2.0661 2.0661
I 6.1982 6.1982 6.1982
```

Stability, lowest: <P>

<P>
TlPb2I after structural relaxation. Source: Alexandria via LeMat-Bulk, functional GGA-PBE.

```
8
Lattice="-3.3115 3.3115 8.5784 3.3115 -3.3115 8.5784 3.3115 3.3115 -8.5784" Properties=species:S:1:pos:R:3 pbc="T T T"
Tl 0.0000 0.0000 0.0000
Tl 0.0000 3.3115 4.2892
Pb 4.9672 1.4390 -2.1446
Pb 1.4390 1.6557 2.1446
Pb -1.6557 1.8725 6.4338
Pb 1.8725 1.6557 10.7231
I 3.3115 0.0000 4.2892
I 0.0000 0.0000 8.5784
```

<Q>
TlPb2I after structural relaxation. Source: Alexandria via LeMat-Bulk, functional GGA-PBE.

```
4
Lattice="0.0000 4.0322 4.0322 4.0322 0.0000 4.0322 4.0322 4.0322 0.0000" Properties=species:S:1:pos:R:3 pbc="T T T"
Tl 0.0000 0.0000 0.0000
Pb 2.0161 2.0161 2.0161
Pb 6.0483 6.0483 6.0483
I 4.0322 4.0322 4.0322
```

Stability, lowest: <P>

<P>
TlPb4I8 after structural relaxation. Source: Alexandria via LeMat-Bulk, functional GGA-PBE.

```
13
Lattice="0.0000 6.9613 6.9613 6.9613 0.0000 6.9613 6.9613 6.9613 0.0000" Properties=species:S:1:pos:R:3 pbc="T T T"
Tl 0.0000 0.0000 0.0000
Pb 8.6444 5.2782 5.2782
Pb 5.2782 8.6444 5.2782
Pb 5.2782 5.2782 8.6444
Pb 8.6444 8.6444 8.6444
I 5.3711 5.3711 5.3711
I 8.5515 8.5515 5.3711
I 8.5515 5.3711 8.5515
I 11.9736 8.9103 8.9103
I 5.3711 8.5515 8.5515
I 8.9103 11.9736 8.9103
I 8.9103 8.9103 11.9736
I 11.9736 11.9736 11.9736
```

<Q>
TlPb4I8 after structural relaxation. Source: Alexandria via LeMat-Bulk, functional GGA-PBE.

```
13
Lattice="4.8520 2.8013 7.7284 -4.8520 2.8013 7.7284 0.0000 -5.6026 7.7284" Properties=species:S:1:pos:R:3 pbc="T T T"
Tl 0.0000 0.0000 0.0000
Pb -4.8519 0.0000 11.5926
Pb -2.4260 1.4006 3.8642
Pb 2.4260 1.4006 3.8642
Pb 0.0000 0.0000 11.5926
I 0.0000 0.0000 5.5964
I -2.4073 -1.3898 13.3518
I 0.0000 -2.7797 9.8335
I -2.4073 1.3898 9.8335
I 2.4072 -1.3898 13.3518
I 0.0000 2.7797 13.3518
I 2.4073 1.3898 9.8335
I 0.0000 0.0000 17.5889
```

Stability, lowest: <P>

<P>
TlPb2I2 after structural relaxation. Source: Alexandria via LeMat-Bulk, functional GGA-PBE.

```
10
Lattice="8.3799 0.0000 0.0000 0.0000 8.3799 0.0000 0.0000 0.0000 5.2360" Properties=species:S:1:pos:R:3 pbc="T T T"
Tl 0.0000 0.0000 0.0000
Tl 4.1899 4.1899 0.0000
Pb 1.2129 2.9770 0.0000
Pb 2.9770 7.1670 0.0000
Pb 5.4029 1.2129 0.0000
Pb 7.1670 5.4029 0.0000
I 1.5094 5.6994 2.6180
I 2.6805 1.5094 2.6180
I 5.6994 6.8705 2.6180
I 6.8705 2.6805 2.6180
```

<Q>
TlPb2I2 after structural relaxation. Source: Alexandria via LeMat-Bulk, functional GGA-PBE.

```
5
Lattice="-3.2799 3.2799 4.8683 3.2799 -3.2799 4.8683 3.2799 3.2799 -4.8683" Properties=species:S:1:pos:R:3 pbc="T T T"
Tl 0.0000 0.0000 0.0000
Pb 0.0000 0.0000 3.2808
Pb 0.0000 0.0000 6.4559
I 3.2799 0.0000 2.4342
I 0.0000 3.2799 2.4342
```

Stability, lowest: <Q>

<P>
Pb3WI after structural relaxation. Source: Alexandria via LeMat-Bulk, functional GGA-PBE.

```
5
Lattice="5.4687 0.0000 0.0000 0.0000 5.4687 0.0000 0.0000 0.0000 5.4687" Properties=species:S:1:pos:R:3 pbc="T T T"
Pb 0.0000 0.0000 2.7343
Pb 0.0000 2.7343 0.0000
Pb 2.7343 0.0000 0.0000
W 0.0000 0.0000 0.0000
I 2.7343 2.7343 2.7343
```

<Q>
Pb3WI after structural relaxation. Source: Alexandria via LeMat-Bulk, functional GGA-PBE.

```
5
Lattice="5.9109 0.0000 0.0000 0.0000 5.9109 0.0000 0.0000 0.0000 5.9109" Properties=species:S:1:pos:R:3 pbc="T T T"
Pb 0.0000 0.0000 2.9554
Pb 0.0000 2.9554 0.0000
Pb 2.9554 0.0000 0.0000
W 2.9554 2.9554 2.9554
I 0.0000 0.0000 0.0000
```

Stability, lowest: <Q>

<P>
YPb2I after structural relaxation. Source: Alexandria via LeMat-Bulk, functional GGA-PBE.

```
4
Lattice="0.0000 4.0114 4.0114 4.0114 0.0000 4.0114 4.0114 4.0114 0.0000" Properties=species:S:1:pos:R:3 pbc="T T T"
Y 0.0000 0.0000 0.0000
Pb 2.0057 2.0057 2.0057
Pb 6.0171 6.0171 6.0171
I 4.0114 4.0114 4.0114
```

<Q>
YPb2I after structural relaxation. Source: Alexandria via LeMat-Bulk, functional GGA-PBE.

```
8
Lattice="-2.2510 2.2510 12.8518 2.2510 -2.2510 12.8518 2.2510 2.2510 -12.8518" Properties=species:S:1:pos:R:3 pbc="T T T"
Y 0.0000 0.0000 0.0000
Y 0.0000 2.2510 6.4259
Pb 3.3765 1.0649 -3.2129
Pb 1.0649 1.1255 3.2129
Pb -1.1255 1.1861 9.6388
Pb 1.1861 1.1255 16.0647
I 2.2510 0.0000 6.4259
I 0.0000 0.0000 12.8518
```

Stability, lowest: <P>